1.
The following is a GGA-PBEsol calculation of an optimized crystal structure of Cr2Co21B6, from the Alexandria database. Values from VASP.

Cell and atoms, written as Quantum ESPRESSO input:
```
&SYSTEM
  ibrav = 0, nat = 29, ntyp = 3
/
ATOMIC_SPECIES
Cr 52.00 Cr.upf
Co 58.93 Co.upf
B 10.81 B.upf
ATOMIC_POSITIONS angstrom
Cr 3.306 -10.726 7.115
Cr 1.102 -3.575 2.372
Co 0.000 0.000 0.000
Co 1.137 -5.764 5.992
Co 0.954 -7.741 3.096
Co 2.738 -8.886 5.894
Co 3.986 -6.213 3.990
Co 3.271 -8.538 3.495
Co 3.453 -6.561 6.390
Co 1.669 -5.416 3.592
Co 0.422 -8.089 5.496
Co -0.585 -5.821 2.528
Co 1.116 -2.176 -0.068
Co 3.550 -3.738 3.747
Co 1.243 -0.798 1.949
Co -0.458 -4.443 4.546
Co 3.428 -5.056 1.816
Co 2.434 -1.562 3.815
Co 2.184 -4.258 -0.133
Co -1.701 -3.645 2.596
Co 1.315 -6.121 1.193
Co 1.565 -3.425 5.142
Co -0.869 -1.862 1.326
B 2.863 -5.008 5.200
B 1.713 -7.472 6.955
B 0.068 -6.416 4.376
B 1.544 -9.294 4.286
B 2.694 -6.830 2.531
B 4.340 -7.886 5.110
CELL_PARAMETERS angstrom
-2.570 -5.508 3.923
3.300 -6.434 -0.201
3.677 -2.360 5.765
```

M_tot: 0.598 μB/atom
space group: Fm-3m
electronic total energy: -7.977 eV per atom
DFT formation energy: -0.216 eV per atom


2.
The following is a GGA-PBEsol calculation of an optimized crystal structure of Cr2CoB2, from the Alexandria database. Values from VASP.

Cell and atoms, written as Quantum ESPRESSO input:
```
&SYSTEM
  ibrav = 0, nat = 10, ntyp = 3
/
ATOMIC_SPECIES
Cr 52.00 Cr.upf
B 10.81 B.upf
Co 58.93 Co.upf
ATOMIC_POSITIONS angstrom
Cr 3.296 1.752 1.432
Cr 3.813 1.620 4.167
Cr 1.090 1.292 4.665
Cr 0.574 1.424 1.930
B 4.432 0.302 2.555
B 2.758 -0.049 5.037
B 0.272 -0.200 3.340
B 1.946 0.151 0.857
Co 0.000 0.000 0.000
Co 2.352 0.051 2.947
CELL_PARAMETERS angstrom
-0.317 2.942 0.202
-0.568 -0.425 5.286
5.272 0.526 0.609
```

M_tot: 0.095 μB/atom
space group: P4/mbm
electronic total energy: -8.912 eV per atom
DFT formation energy: -0.461 eV per atom


3.
The following is a GGA-PBEsol calculation of an optimized crystal structure of CrCo2SnB, from the Alexandria database. Values from VASP.

Cell and atoms, written as Quantum ESPRESSO input:
```
&SYSTEM
  ibrav = 0, nat = 5, ntyp = 4
/
ATOMIC_SPECIES
Cr 52.00 Cr.upf
B 10.81 B.upf
Co 58.93 Co.upf
Sn 118.71 Sn.upf
ATOMIC_POSITIONS angstrom
Cr -1.789 1.311 2.678
B 0.000 0.000 0.000
Co -1.863 -0.269 0.230
Co -0.235 1.862 0.274
Sn 0.309 -0.282 2.174
CELL_PARAMETERS angstrom
-0.470 3.723 0.549
-3.726 -0.538 0.460
0.618 -0.563 4.348
```

M_tot: 0.516 μB/atom
space group: P4/mmm
electronic total energy: -6.909 eV per atom
DFT formation energy: 0.489 eV per atom


4.
The following is a GGA-PBEsol calculation of an optimized crystal structure of CsCoB3, from the Alexandria database. Values from VASP.

Cell and atoms, written as Quantum ESPRESSO input:
```
&SYSTEM
  ibrav = 0, nat = 5, ntyp = 3
/
ATOMIC_SPECIES
Cs 132.91 Cs.upf
B 10.81 B.upf
Co 58.93 Co.upf
ATOMIC_POSITIONS angstrom
Cs 0.000 0.000 0.000
B -0.478 -1.681 -1.433
B -1.156 -1.059 1.628
B -1.882 1.078 -0.636
Co -3.517 -1.662 -0.441
CELL_PARAMETERS angstrom
-3.765 2.155 -1.272
-0.956 -3.362 -2.867
-2.312 -2.118 3.256
```

M_tot: 0.403 μB/atom
space group: Pm-3m
electronic total energy: -2.103 eV per atom
DFT formation energy: 3.843 eV per atom


5.
The following is a GGA-PBEsol calculation of an optimized crystal structure of Cs2CoB, from the Alexandria database. Values from VASP.

Cell and atoms, written as Quantum ESPRESSO input:
```
&SYSTEM
  ibrav = 0, nat = 4, ntyp = 3
/
ATOMIC_SPECIES
Cs 132.91 Cs.upf
B 10.81 B.upf
Co 58.93 Co.upf
ATOMIC_POSITIONS angstrom
Cs -2.042 -0.954 -2.676
Cs -6.126 -2.863 -8.029
B 0.000 0.000 0.000
Co -4.084 -1.909 -5.353
CELL_PARAMETERS angstrom
-3.090 1.894 -4.417
-0.241 -3.041 -4.831
-4.837 -2.671 -1.457
```

M_tot: 0.021 μB/atom
space group: Fm-3m
electronic total energy: -2.304 eV per atom
DFT formation energy: 1.856 eV per atom


6.
The following is a GGA-PBEsol calculation of an optimized crystal structure of CoCuB3, from the Alexandria database. Values from VASP.

Cell and atoms, written as Quantum ESPRESSO input:
```
&SYSTEM
  ibrav = 0, nat = 5, ntyp = 3
/
ATOMIC_SPECIES
B 10.81 B.upf
Co 58.93 Co.upf
Cu 63.55 Cu.upf
ATOMIC_POSITIONS angstrom
B -0.239 -0.506 1.759
B -1.682 0.761 -0.010
B -0.722 -1.604 -0.560
Co -2.643 -1.349 1.189
Cu 0.000 0.000 0.000
CELL_PARAMETERS angstrom
-1.444 -3.208 -1.119
-0.479 -1.012 3.518
-3.363 1.521 -0.020
```

M_tot: 0.163 μB/atom
space group: Pm-3m
electronic total energy: -4.978 eV per atom
DFT formation energy: 1.647 eV per atom


M_tot of number 1 (Cr2Co21B6)?
0.598 μB/atom